[1]
Computed, not measured: a crystal of Na3Li3N2 relaxed with PBEsol at the meta-GGA SCAN level of DFT.

Output
* uncorrected formation energy: 0.333 eV per atom

Cell: 3.761 3.761 11.557 Å, 90.00 90.00 90.00°
Atoms (fractional coordinates):
Na  0.000  0.000  0.000
Na  0.000  0.000  0.290
Na  0.000  0.000  0.710
Li  0.000  0.000  0.500
Li  0.500  0.500  0.000
Li  0.500  0.500  0.500
N  0.000  0.500  0.576
N  0.500  0.000  0.424



[2]
Computed, not measured: a crystal of Na2LiTeN relaxed with PBEsol at the meta-GGA SCAN level of DFT.

Output
* uncorrected formation energy: -0.253 eV per atom

Cell: 4.862 4.862 4.105 Å, 90.00 90.00 90.00°
Atoms (fractional coordinates):
Na  0.000  0.500  0.000
Na  0.500  0.000  0.000
Li  0.000  0.000  0.500
Te  0.500  0.500  0.500
N  0.000  0.000  0.000



[3]
Computed, not measured: a crystal of LiNbNO2 relaxed with PBEsol at the meta-GGA SCAN level of DFT.

Output
* uncorrected formation energy: -1.479 eV per atom

Cell: 3.973 3.973 4.065 Å, 90.00 90.00 90.00°
Atoms (fractional coordinates):
Li  0.000  0.000  0.000
Nb  0.500  0.500  0.500
N  0.500  0.500  0.000
O  0.000  0.500  0.500
O  0.500  0.000  0.500



[4]
Computed, not measured: a crystal of LiNbS2N relaxed with PBEsol at the meta-GGA SCAN level of DFT.

Output
* uncorrected formation energy: -0.499 eV per atom

Cell: 4.864 4.864 3.969 Å, 90.00 90.00 90.00°
Atoms (fractional coordinates):
Li  0.000  0.000  0.000
Nb  0.500  0.500  0.500
S  0.000  0.500  0.500
S  0.500  0.000  0.500
N  0.500  0.500  0.000



[5]
Computed, not measured: a crystal of Sr2Li3NbN4 relaxed with PBEsol at the meta-GGA SCAN level of DFT.

Output
* uncorrected formation energy: -1.042 eV per atom

Cell: 8.659 8.915 6.962 Å, 90.00 90.00 90.00°
Atoms (fractional coordinates):
Sr  0.000  0.000  0.240
Sr  0.000  0.000  0.760
Sr  0.241  0.248  0.500
Sr  0.259  0.748  0.000
Sr  0.500  0.500  0.260
Sr  0.500  0.500  0.740
Sr  0.741  0.252  0.000
Sr  0.759  0.752  0.500
Li  0.019  0.635  0.261
Li  0.019  0.635  0.739
Li  0.205  0.579  0.500
Li  0.295  0.079  0.000
Li  0.481  0.135  0.239
Li  0.481  0.135  0.761
Li  0.519  0.865  0.239
Li  0.519  0.865  0.761
Li  0.705  0.921  0.000
Li  0.795  0.421  0.500
Li  0.981  0.365  0.261
Li  0.981  0.365  0.739
Nb  0.214  0.363  0.000
Nb  0.286  0.863  0.500
Nb  0.714  0.137  0.500
Nb  0.786  0.637  0.000
N  0.045  0.216  0.000
N  0.072  0.780  0.500
N  0.198  0.483  0.236
N  0.198  0.483  0.764
N  0.302  0.983  0.264
N  0.302  0.983  0.736
N  0.428  0.280  0.000
N  0.455  0.716  0.500
N  0.545  0.284  0.500
N  0.572  0.720  0.000
N  0.698  0.017  0.264
N  0.698  0.017  0.736
N  0.802  0.517  0.236
N  0.802  0.517  0.764
N  0.928  0.220  0.500
N  0.955  0.784  0.000



[6]
Computed, not measured: a crystal of LiNbTe2N relaxed with PBEsol at the meta-GGA SCAN level of DFT.

Output
* uncorrected formation energy: -0.161 eV per atom

Cell: 5.579 5.579 3.878 Å, 90.00 90.00 90.00°
Atoms (fractional coordinates):
Li  0.000  0.000  0.000
Nb  0.500  0.500  0.500
Te  0.000  0.500  0.500
Te  0.500  0.000  0.500
N  0.500  0.500  0.000



[7]
Computed, not measured: a crystal of LiNb2TlN relaxed with PBEsol at the meta-GGA SCAN level of DFT.

Output
* uncorrected formation energy: 0.965 eV per atom

Cell: 4.745 4.745 3.291 Å, 90.00 90.00 90.00°
Atoms (fractional coordinates):
Li  0.000  0.000  0.000
Nb  0.000  0.500  0.000
Nb  0.500  0.000  0.000
Tl  0.500  0.500  0.500
N  0.000  0.000  0.500



[8]
Computed, not measured: a crystal of LiNi3N relaxed with PBEsol at the meta-GGA SCAN level of DFT.

Output
* excess energy over the best structure of this formula in the dataset: 0.000 eV per atom
* uncorrected formation energy: -0.148 eV per atom

Cell: 3.691 3.691 3.691 Å, 90.00 90.00 90.00°
Atoms (fractional coordinates):
Li  0.000  0.000  0.000
Ni  0.000  0.500  0.500
Ni  0.500  0.000  0.500
Ni  0.500  0.500  0.000
N  0.500  0.500  0.500



[9]
Computed, not measured: a crystal of Li6Ni2N3 relaxed with PBEsol at the meta-GGA SCAN level of DFT.

Output
* uncorrected formation energy: -0.419 eV per atom

Cell: 3.482 6.363 6.363 Å, 120.26 90.00 90.00°
Atoms (fractional coordinates):
Li  0.000  0.000  0.000
Li  0.000  0.053  0.384
Li  0.000  0.384  0.053
Li  0.000  0.456  0.700
Li  0.000  0.700  0.456
Li  0.500  0.333  0.333
Ni  0.500  0.076  0.715
Ni  0.500  0.715  0.076
N  0.000  0.075  0.715
N  0.000  0.343  0.343
N  0.000  0.715  0.075



[10]
Computed, not measured: a crystal of LiNi3N relaxed with PBEsol at the meta-GGA SCAN level of DFT.

Output
* excess energy over the best structure of this formula in the dataset: 2.007 eV per atom
* uncorrected formation energy: 1.859 eV per atom

Cell: 3.772 3.772 3.772 Å, 90.00 90.00 90.00°
Atoms (fractional coordinates):
Li  0.000  0.000  0.000
Ni  0.000  0.000  0.500
Ni  0.000  0.500  0.000
Ni  0.500  0.000  0.000
N  0.500  0.500  0.500



[11]
Computed, not measured: a crystal of LiP2NO relaxed with PBEsol at the meta-GGA SCAN level of DFT.

Output
* uncorrected formation energy: 0.792 eV per atom

Cell: 3.784 3.784 4.265 Å, 90.00 90.00 90.00°
Atoms (fractional coordinates):
Li  0.000  0.000  0.000
P  0.000  0.500  0.500
P  0.500  0.000  0.500
N  0.500  0.500  0.500
O  0.500  0.500  0.000



[12]
Computed, not measured: a crystal of LiPbN2O relaxed with PBEsol at the meta-GGA SCAN level of DFT.

Output
* uncorrected formation energy: 0.978 eV per atom

Cell: 4.396 4.396 4.273 Å, 90.00 90.00 90.00°
Atoms (fractional coordinates):
Li  0.000  0.000  0.000
Pb  0.500  0.500  0.500
N  0.000  0.500  0.500
N  0.500  0.000  0.500
O  0.500  0.500  0.000



Question: Among the records above, which one has the lowest uncorrected formation energy?
Answer: LiNbNO2



Question: uncorrected formation energy of number 1 (Na3Li3N2)?
Answer: 0.333 eV per atom



Question: Among the records above, which one has the highest uncorrected formation energy?
Answer: number 10



Question: Look up the uncorrected formation energy of the third one.
Answer: -1.479 eV per atom